Record 1
Computed, not measured: Li2CaCu at its PBEsol-relaxed geometry at the SCAN level of DFT.

Calculated values
electronic total energy	-7.40	eV/atom
offset from the most stable computed form	0.0	meV per atom
energy of formation	15	meV per atom

Lattice parameters (Å, degrees): 4.4114 4.4114 14.8461 90.00 90.00 120.00
Space group R3m (No. 160, hexagonal axes)
Asymmetric unit:
Li1 0.0000 0.0000 0.0000 [3 per cell]
Li2 0.0000 0.0000 0.2762 [3 per cell]
Ca1 0.0000 0.0000 0.4797 [3 per cell]
Cu1 0.0000 0.0000 0.6866 [3 per cell]

Record 2
Computed, not measured: Co2AsOs at its PBEsol-relaxed geometry at the SCAN level of DFT.

Calculated values
electronic total energy	-31.42	eV/atom
energy of formation	249	meV per atom

Lattice parameters (Å, degrees): 2.880 4.115 4.162 90.00 90.00 90.00
Space group Pmmm (No. 47)
Asymmetric unit:
Co1 0.000 0.000 0.000 [1 per cell]
Co2 0.500 0.000 0.500 [1 per cell]
As1 0.000 0.500 0.500 [1 per cell]
Os1 0.500 0.500 0.000 [1 per cell]

Record 3
Computed, not measured: Li2AlPb at its PBEsol-relaxed geometry at the SCAN level of DFT.

Calculated values
electronic total energy	-22.31	eV/atom
energy of formation	-233	meV per atom

Lattice parameters (Å, degrees): 6.640 6.640 6.640 90.00 90.00 90.00
Space group Fm-3m (No. 225)
Asymmetric unit:
Li1 0.250 0.250 0.250 [8 per cell]
Al1 0.000 0.000 0.000 [4 per cell]
Pb1 0.000 0.000 0.500 [4 per cell]

Record 4
Computed, not measured: CaCu2As at its PBEsol-relaxed geometry at the SCAN level of DFT.

Calculated values
electronic total energy	-15.19	eV/atom
energy of formation	-129	meV per atom

Lattice parameters (Å, degrees): 4.139 4.139 7.713 90.00 90.00 90.00
Space group I4/mmm (No. 139)
Asymmetric unit:
Ca1 0.000 0.000 0.000 [2 per cell]
Cu1 0.000 0.500 0.250 [4 per cell]
As1 0.000 0.000 0.500 [2 per cell]

Record 5
Computed, not measured: LiTaAs2 at its PBEsol-relaxed geometry at the SCAN level of DFT.

Calculated values
electronic total energy	-27.81	eV/atom
offset from the most stable computed form	0.0	meV per atom
energy of formation	-471	meV per atom

Lattice parameters (Å, degrees): 5.630 3.552 7.462 90.00 106.75 90.00
Space group C2/m (No. 12)
Asymmetric unit:
Li1 0.000 0.000 0.000 [2 per cell]
Ta1 0.000 0.500 0.500 [2 per cell]
As1 0.249 0.000 0.740 [4 per cell]

Record 6
Computed, not measured: RbTmP2O7 at its PBEsol-relaxed geometry at the SCAN level of DFT.

Calculated values
electronic total energy	-15.45	eV/atom
formation energy (no corrections)	-32.9	eV/f.u.

Lattice parameters (Å, degrees): 7.706 10.819 8.653 90.00 105.95 90.00
Space group P2_1/c (No. 14)
Asymmetric unit:
Rb1 0.184 0.177 0.062 [4 per cell]
Tm1 0.235 0.598 0.254 [4 per cell]
P1 0.130 0.600 0.819 [4 per cell]
P2 0.436 0.637 0.688 [4 per cell]
O1 0.005 0.501 0.719 [4 per cell]
O2 0.077 0.729 0.749 [4 per cell]
O3 0.143 0.592 0.996 [4 per cell]
O4 0.327 0.611 0.516 [4 per cell]
O5 0.330 0.568 0.802 [4 per cell]
O6 0.378 0.077 0.768 [4 per cell]
O7 0.449 0.726 0.234 [4 per cell]